Entry 1:
Crystalline Bi2TeRh at its relaxed geometry. Source: Alexandria, functional PBE.

Summary:
Space-group type = P2_1/c (14)
Formation energy (no corrections) = -11.5 kJ per mole of atoms
Crystal system = monoclinic

Lattice parameters (Å, degrees): 5.899 6.954 10.574 89.91 90.00 90.00
Sites, in units of the cell vectors:
Te1 0.251 0.060 0.750
Rh1 0.000 0.249 0.589
Bi1 0.278 0.574 0.588
Bi2 0.722 0.925 0.589
Bi3 0.222 0.575 0.911
Bi4 0.222 0.074 0.088
Bi5 0.778 0.425 0.089
Bi6 0.722 0.426 0.412
Te2 0.751 0.440 0.750
Bi7 0.778 0.926 0.912
Bi8 0.278 0.075 0.411
Te3 0.249 0.560 0.250
Rh2 0.000 0.751 0.411
Rh3 0.500 0.251 0.911
Te4 0.749 0.940 0.250
Rh4 0.500 0.749 0.089

---

Entry 2:
Crystalline LiHfFe2 at its relaxed geometry. Source: Alexandria, functional PBE.

Summary:
Space-group type = I-42d (122)
Formation energy = 0.435 eV/atom
Crystal system = tetragonal

Lattice parameters (Å, degrees): 6.725 6.725 5.406 51.53 51.53 90.00
Site moments in Bohr magnetons follow the coordinates.
Sites, in units of the cell vectors:
Fe1 0.599 0.125 0.250  2.04
Fe2 0.375 0.401 0.750  2.03
Li1 0.250 0.750 0.500  -0.06
Hf1 0.750 0.250 0.500  -0.51
Hf2 0.000 0.000 0.000  -0.51
Fe3 0.875 0.849 0.750  2.04
Fe4 0.151 0.625 0.250  2.04
Li2 0.500 0.500 0.000  -0.06

---

Entry 3:
Crystalline LaPr5Sc at its relaxed geometry. Source: Alexandria, functional PBE.

Summary:
Space-group type = P4/mmm (123)
Formation energy = 0.222 eV/atom
Crystal system = tetragonal

Lattice parameters (Å, degrees): 5.416 5.416 8.738 90.00 90.00 90.00
Sites, in units of the cell vectors:
Pr1 0.000 0.500 0.291
Sc1 0.000 0.000 0.500
Pr2 0.500 0.000 0.709
La1 0.000 0.000 0.000
Pr3 0.500 0.500 0.000
Pr4 0.500 0.000 0.291
Pr5 0.000 0.500 0.709

---

Entry 4:
Crystalline PuMgSe2 at its relaxed geometry. Source: Alexandria, functional PBE.

Summary:
Space-group type = P-3m1 (164)
Formation energy (no corrections) = -129.2 kJ per mole of atoms
Relative energy among the computed polymorphs = 0 meV per atom
Crystal system = trigonal

Lattice parameters (Å, degrees): 3.985 3.985 20.154 90.00 90.00 120.00
Site moments in Bohr magnetons follow the coordinates.
Sites, in units of the cell vectors:
Se1 0.667 0.333 0.078  0.00
Se2 0.000 0.000 0.768  0.05
Pu1 0.333 0.667 0.675  -5.41
Se3 0.333 0.667 0.922  0.00
Se4 0.333 0.667 0.412  0.00
Se5 0.667 0.333 0.588  0.00
Mg1 0.667 0.333 0.844  0.00
Pu2 0.667 0.333 0.325  -5.41
Mg2 0.000 0.000 0.000  0.00
Se6 0.000 0.000 0.232  0.05
Pu3 0.000 0.000 0.500  5.31
Mg3 0.333 0.667 0.156  0.00

---

Entry 5:
Crystalline PtS2NO at its relaxed geometry. Source: Alexandria, functional PBE.

Summary:
Space-group type = P4/mmm (123)
Formation energy (no corrections) = 141.3 kJ per mole of atoms
Relative energy among the computed polymorphs = 0 meV per atom
Crystal system = tetragonal

Lattice parameters (Å, degrees): 4.896 4.896 3.647 90.00 90.00 90.00
Site moments in Bohr magnetons follow the coordinates.
Sites, in units of the cell vectors:
O1 0.500 0.500 0.500  -0.26
S1 0.500 0.000 0.000  0.21
Pt1 0.000 0.000 0.000  0.03
N1 0.000 0.000 0.500  0.01
S2 0.000 0.500 0.000  0.21

---

Entry 6:
Crystalline NiI2N2 at its relaxed geometry. Source: Alexandria, functional PBE.

Summary:
Space-group type = Cmmm (65)
Formation energy (no corrections) = 142.9 kJ per mole of atoms
Relative energy among the computed polymorphs = 1529 meV per atom
Crystal system = orthorhombic

Lattice parameters (Å, degrees): 3.522 4.829 4.829 82.52 90.00 90.00
Sites, in units of the cell vectors:
I1 0.500 0.282 0.282
I2 0.500 0.718 0.718
Ni1 0.000 0.000 0.000
N1 0.000 0.283 0.717
N2 0.000 0.717 0.283

---

Copy entry 3 word for word.
Crystalline LaPr5Sc at its relaxed geometry. Source: Alexandria, functional PBE.

Summary:
Space-group type = P4/mmm (123)
Formation energy = 0.222 eV/atom
Crystal system = tetragonal

Lattice parameters (Å, degrees): 5.416 5.416 8.738 90.00 90.00 90.00
Sites, in units of the cell vectors:
Pr1 0.000 0.500 0.291
Sc1 0.000 0.000 0.500
Pr2 0.500 0.000 0.709
La1 0.000 0.000 0.000
Pr3 0.500 0.500 0.000
Pr4 0.500 0.000 0.291
Pr5 0.000 0.500 0.709

---

Copy entry 5 word for word.
Crystalline PtS2NO at its relaxed geometry. Source: Alexandria, functional PBE.

Summary:
Space-group type = P4/mmm (123)
Formation energy (no corrections) = 141.3 kJ per mole of atoms
Relative energy among the computed polymorphs = 0 meV per atom
Crystal system = tetragonal

Lattice parameters (Å, degrees): 4.896 4.896 3.647 90.00 90.00 90.00
Site moments in Bohr magnetons follow the coordinates.
Sites, in units of the cell vectors:
O1 0.500 0.500 0.500  -0.26
S1 0.500 0.000 0.000  0.21
Pt1 0.000 0.000 0.000  0.03
N1 0.000 0.000 0.500  0.01
S2 0.000 0.500 0.000  0.21